Crystalline AcSi3Os at its relaxed geometry. Source: Alexandria via LeMat-Bulk, functional GGA-PBE.

Cell: 5.907 5.907 5.907 Å, 136.53 136.53 63.17°
Fractional positions:
Ac: 0.000 0.000 0.000
Si: 0.258 0.758 0.500
Si: 0.415 0.415 0.000
Si: 0.758 0.258 0.500
Os: 0.653 0.653 0.000

Calculated values
**Electronic total energy**: -6.894 eV per atom
**Magnetization**: 0.000 μB per atom
**Uncorrected formation energy**: -572.4 meV/atom
**DOS at the Fermi energy**: 0.42 states/eV/atom
**Offset from the most stable computed form**: 0.0 meV/atom